(1)
First-principles (PBE-GGA) data for LiPm2ZnPt2 after structural relaxation, as listed in Alexandria via LeMat-Bulk.

Values from the calculation:
- energy of formation (eV per formula unit) = -5.1
- density (g/cm3) = 9.891

Cell and atoms, written as CIF:
```
data_LiPm2ZnPt2
_cell_length_a 5.7742
_cell_length_b 14.8481
_cell_length_c 5.8943
_cell_angle_alpha 90.00
_cell_angle_beta 90.00
_cell_angle_gamma 90.00
_space_group_name_H-M_alt 'I b a m'
_space_group_IT_number 72
_space_group_name_Hall '-I 2 2c'
loop_
_atom_site_label
_atom_site_type_symbol
_atom_site_fract_x
_atom_site_fract_y
_atom_site_fract_z
Li1 Li 0.0000 0.0000 0.2500
Pm1 Pm 0.2410 0.1692 0.0000
Zn1 Zn 0.0000 0.5000 0.2500
Pt1 Pt 0.2417 0.3761 0.0000
```

(2)
First-principles (PBE-GGA) data for LiPm2Zn3Pt4 after structural relaxation, as listed in Alexandria via LeMat-Bulk.

Values from the calculation:
- energy of formation (eV per formula unit) = -7.8
- density (g/cm3) = 11.254

Cell and atoms, written as CIF:
```
data_LiPm2Zn3Pt4
_cell_length_a 4.0717
_cell_length_b 4.0717
_cell_length_c 11.3337
_cell_angle_alpha 90.00
_cell_angle_beta 90.00
_cell_angle_gamma 90.00
_space_group_name_H-M_alt 'P -4 m 2'
_space_group_IT_number 115
loop_
_space_group_symop_operation_xyz
'x,y,z'
'y,-x,-z'
'-x,-y,z'
'-y,x,-z'
'-x,y,z'
'-y,-x,-z'
'x,-y,z'
'y,x,-z'
loop_
_atom_site_label
_atom_site_type_symbol
_atom_site_fract_x
_atom_site_fract_y
_atom_site_fract_z
Li1 Li 0.0000 0.0000 0.0000
Pm1 Pm 0.0000 0.5000 0.7475
Zn1 Zn 0.0000 0.5000 0.3658
Zn2 Zn 0.5000 0.5000 0.0000
Pt1 Pt 0.0000 0.0000 0.5000
Pt2 Pt 0.0000 0.5000 0.1446
Pt3 Pt 0.5000 0.5000 0.5000
```

(3)
First-principles (PBE-GGA) data for LiPm2ZnPt6 after structural relaxation, as listed in Alexandria via LeMat-Bulk.

Values from the calculation:
- energy of formation (eV per formula unit) = -7.1
- density (g/cm3) = 12.160

Cell and atoms, written as CIF:
```
data_LiPm2ZnPt6
_cell_length_a 9.6304
_cell_length_b 5.5666
_cell_length_c 8.4420
_cell_angle_alpha 90.00
_cell_angle_beta 112.32
_cell_angle_gamma 90.00
_space_group_name_H-M_alt 'C 1 2/m 1'
_space_group_IT_number 12
loop_
_space_group_symop_operation_xyz
'x,y,z'
'-x,-y,-z'
'-x,y,-z'
'x,-y,z'
'x+1/2,y+1/2,z'
'-x+1/2,-y+1/2,-z'
'-x+1/2,y+1/2,-z'
'x+1/2,-y+1/2,z'
loop_
_atom_site_label
_atom_site_type_symbol
_atom_site_fract_x
_atom_site_fract_y
_atom_site_fract_z
Li1 Li 0.0000 0.0000 0.0000
Pm1 Pm 0.2013 0.5000 0.1040
Zn1 Zn 0.0000 0.5000 0.5000
Pt1 Pt 0.0000 0.2456 0.2467
Pt2 Pt 0.2460 0.0000 0.2465
```

(4)
First-principles (PBE-GGA) data for LiPmPuRe after structural relaxation, as listed in Alexandria via LeMat-Bulk.

Values from the calculation:
- energy of formation (eV per formula unit) = 0.9
- density (g/cm3) = 11.324

Cell and atoms, written as CIF:
```
data_LiPmPuRe
_cell_length_a 6.9896
_cell_length_b 6.9896
_cell_length_c 6.9896
_cell_angle_alpha 90.00
_cell_angle_beta 90.00
_cell_angle_gamma 90.00
_space_group_name_H-M_alt 'F -4 3 m'
_space_group_IT_number 216
_space_group_name_Hall 'F -4 2 3'
loop_
_atom_site_label
_atom_site_type_symbol
_atom_site_fract_x
_atom_site_fract_y
_atom_site_fract_z
Li1 Li 0.0000 0.0000 0.0000
Pm1 Pm 0.2500 0.2500 0.7500
Pu1 Pu 0.2500 0.2500 0.2500
Re1 Re 0.0000 0.0000 0.5000
```

(5)
First-principles (PBE-GGA) data for LiPmPuRh after structural relaxation, as listed in Alexandria via LeMat-Bulk.

Values from the calculation:
- energy of formation (eV per formula unit) = -0.9
- density (g/cm3) = 9.419

Cell and atoms, written as CIF:
```
data_LiPmPuRh
_cell_length_a 7.0591
_cell_length_b 7.0591
_cell_length_c 7.0591
_cell_angle_alpha 90.00
_cell_angle_beta 90.00
_cell_angle_gamma 90.00
_space_group_name_H-M_alt 'F -4 3 m'
_space_group_IT_number 216
_space_group_name_Hall 'F -4 2 3'
loop_
_atom_site_label
_atom_site_type_symbol
_atom_site_fract_x
_atom_site_fract_y
_atom_site_fract_z
Li1 Li 0.0000 0.0000 0.0000
Pm1 Pm 0.2500 0.2500 0.7500
Pu1 Pu 0.2500 0.2500 0.2500
Rh1 Rh 0.0000 0.0000 0.5000
```

(6)
First-principles (PBE-GGA) data for Li3Pm4PuS8 after structural relaxation, as listed in Alexandria via LeMat-Bulk.

Values from the calculation:
- density (g/cm3) = 5.175
- energy relative to the elements, uncorrected (meV/atom) = -1810

Cell and atoms, written as CIF:
```
data_Li3Pm4PuS8
_cell_length_a 7.9927
_cell_length_b 7.9927
_cell_length_c 19.1618
_cell_angle_alpha 90.00
_cell_angle_beta 90.00
_cell_angle_gamma 120.00
_space_group_name_H-M_alt 'R -3 m'
_space_group_IT_number 166
_space_group_name_Hall '-R 3 2"'
loop_
_atom_site_label
_atom_site_type_symbol
_atom_site_fract_x
_atom_site_fract_y
_atom_site_fract_z
Li1 Li 0.0000 0.5000 0.0000
Pm1 Pm 0.0000 0.0000 0.5000
Pm2 Pm 0.0000 0.5000 0.5000
Pu1 Pu 0.0000 0.0000 0.0000
S1 S 0.0000 0.0000 0.2519
S2 S 0.0027 0.5013 0.2526
```

- The lowest density belongs to which entry?
  Li3Pm4PuS8

- Which value of density does entry 6 give?
  5.175 g/cm3

- Among the records above, which one has the lowest density?
  Li3Pm4PuS8